Entry 1:
{"formula": "TbSb2S4", "functional": "PBE", "state": "optimized geometry", "cell": [[4.1286, 0.0000, 0.0000], [-2.0643, 6.3768, 0.0000], [0.0000, 0.0000, 12.8574]], "species": ["Tb", "Tb", "Sb", "Sb", "Sb", "Sb", "S", "S", "S", "S", "S", "S", "S", "S"], "frac_coords": [[0.6237, 0.2474, 0.7500], [0.3763, 0.7526, 0.2500], [0.1237, 0.2474, 0.4394], [0.8763, 0.7526, 0.9394], [0.1237, 0.2474, 0.0606], [0.8763, 0.7526, 0.5606], [0.7772, 0.5545, 0.1220], [0.7772, 0.5545, 0.3780], [0.2228, 0.4455, 0.8780], [0.2228, 0.4455, 0.6220], [0.9819, 0.9637, 0.7500], [0.0181, 0.0363, 0.2500], [0.5000, 0.0000, 0.0000], [0.5000, 0.0000, 0.5000]], "magmom_total_mub_per_cell": 0.00, "formation_energy_uncorrected_ev_per_fu": -5.03, "space_group": "Cmcm, No. 63", "final_energy_ev_per_atom": -4.917}

=====

Entry 2:
{"formula": "Tb6Sb2TeS3", "functional": "PBE", "state": "optimized geometry", "cell": [[4.1308, 0.0000, 0.0000], [0.0000, 8.3845, 0.2224], [-2.0654, -2.5004, 8.7646]], "species": ["Tb", "Tb", "Tb", "Tb", "Tb", "Tb", "Sb", "Sb", "Te", "S", "S", "S"], "frac_coords": [[0.3240, 0.9293, 0.6480], [0.6603, 0.5982, 0.3207], [0.6760, 0.0707, 0.3520], [0.9938, 0.2762, 0.9877], [0.0062, 0.7238, 0.0123], [0.3397, 0.4018, 0.6793], [0.8339, 0.6680, 0.6679], [0.1661, 0.3320, 0.3321], [0.5000, 0.0000, 0.0000], [0.5000, 0.5000, 0.0000], [0.8344, 0.1657, 0.6689], [0.1656, 0.8343, 0.3311]], "magmom_total_mub_per_cell": 0.00, "formation_energy_uncorrected_ev_per_fu": -19.04, "space_group": "C2/m, No. 12", "final_energy_ev_per_atom": -5.883}

=====

Entry 3:
{"formula": "Tb8Sb3Te4S", "functional": "PBE", "state": "optimized geometry", "cell": [[8.6447, 0.0000, 0.0000], [0.0000, 8.7115, 0.0410], [-4.3224, -4.3179, 6.1158]], "species": ["Tb", "Tb", "Tb", "Tb", "Tb", "Tb", "Tb", "Tb", "Sb", "Sb", "Sb", "Te", "Te", "Te", "Te", "S"], "frac_coords": [[0.2327, 0.7267, 0.9940], [0.2328, 0.7268, 0.4656], [0.2534, 0.2601, 0.5068], [0.7613, 0.7267, 0.9940], [0.2387, 0.2733, 0.0060], [0.7466, 0.7399, 0.4932], [0.7672, 0.2732, 0.5344], [0.7673, 0.2733, 0.0060], [0.5000, 0.5000, 0.0000], [0.5000, 0.5000, 0.5000], [0.0000, 0.5000, 0.5000], [0.5000, 0.0000, 0.0000], [0.5000, 0.0000, 0.5000], [0.0000, 0.0000, 0.0000], [0.0000, 0.0000, 0.5000], [0.0000, 0.5000, 0.0000]], "magmom_total_mub_per_cell": 0.00, "formation_energy_uncorrected_ev_per_fu": -21.66, "space_group": "R-3m, No. 166", "final_energy_ev_per_atom": -5.485}

=====

Entry 4:
{"formula": "Tb6SbTe3S2", "functional": "PBE", "state": "optimized geometry", "cell": [[7.2561, 0.0040, -0.0008], [-3.6228, 6.2870, -0.0008], [-1.2126, -2.0996, 7.0728]], "species": ["Tb", "Tb", "Tb", "Tb", "Tb", "Tb", "Sb", "Te", "Te", "Te", "S", "S"], "frac_coords": [[0.9268, 0.5726, 0.7833], [0.7142, 0.7142, 0.2102], [0.0732, 0.4274, 0.2167], [0.5726, 0.9268, 0.7833], [0.2858, 0.2858, 0.7898], [0.4274, 0.0732, 0.2167], [0.0000, 0.0000, 0.0000], [0.1589, 0.8411, 0.5000], [0.8411, 0.1589, 0.5000], [0.5000, 0.5000, 0.5000], [0.3317, 0.6683, 0.0000], [0.6683, 0.3317, 0.0000]], "magmom_total_mub_per_cell": 0.00, "formation_energy_uncorrected_ev_per_fu": -18.27, "space_group": "C2/m, No. 12", "final_energy_ev_per_atom": -5.655}

=====

Entry 5:
{"formula": "Tb4SbTeS2", "functional": "PBE", "state": "optimized geometry", "cell": [[8.3248, 0.0017, -0.0708], [-0.0041, 8.3248, -0.0709], [-4.1738, -4.1767, 5.9569]], "species": ["Tb", "Tb", "Tb", "Tb", "Tb", "Tb", "Tb", "Tb", "Sb", "Sb", "Te", "Te", "S", "S", "S", "S"], "frac_coords": [[0.2830, 0.7542, 0.0186], [0.7458, 0.2170, 0.4814], [0.2542, 0.7830, 0.5186], [0.7170, 0.2458, 0.9814], [0.7406, 0.7594, 0.0291], [0.7406, 0.7594, 0.4709], [0.2594, 0.2406, 0.5291], [0.2594, 0.2406, 0.9709], [0.0000, 0.5000, 0.0000], [0.0000, 0.5000, 0.5000], [0.5000, 0.5000, 0.5000], [0.0000, 0.0000, 0.0000], [0.5000, 0.0000, 0.0000], [0.5000, 0.0000, 0.5000], [0.0000, 0.0000, 0.5000], [0.5000, 0.5000, 0.0000]], "magmom_total_mub_per_cell": 0.00, "formation_energy_uncorrected_ev_per_fu": -12.88, "space_group": "Imma, No. 74", "final_energy_ev_per_atom": -5.865}

=====

Entry 6:
{"formula": "Tb6Sb2Te3S", "functional": "PBE", "state": "optimized geometry", "cell": [[-1.0728, -1.6339, 3.8157], [3.4460, -7.6269, -2.2969], [7.7540, 5.4755, 2.1162]], "species": ["Tb", "Tb", "Tb", "Tb", "Tb", "Tb", "Sb", "Sb", "Te", "Te", "Te", "S"], "frac_coords": [[0.3519, 0.9225, 0.7038], [0.6666, 0.5771, 0.3332], [0.6481, 0.0775, 0.2962], [0.9999, 0.2138, 0.9997], [0.0001, 0.7862, 0.0003], [0.3334, 0.4229, 0.6668], [0.8340, 0.6692, 0.6679], [0.1660, 0.3308, 0.3321], [0.5000, 0.5000, 0.0000], [0.8285, 0.1625, 0.6570], [0.1715, 0.8375, 0.3430], [0.5000, 0.0000, 0.0000]], "magmom_total_mub_per_cell": 0.00, "formation_energy_uncorrected_ev_per_fu": -16.74, "space_group": "C2/m, No. 12", "final_energy_ev_per_atom": -5.526}

=====

Entry 7:
{"formula": "Tb3Tl4SbS8", "functional": "PBE", "state": "optimized geometry", "cell": [[-5.6283, 5.7751, 0.8884], [1.1109, -0.2645, 8.7572], [6.5683, 1.4031, -4.5518]], "species": ["Tb", "Tb", "Tb", "Tl", "Tl", "Tl", "Tl", "Sb", "S", "S", "S", "S", "S", "S", "S", "S"], "frac_coords": [[0.5000, 0.5000, 0.0000], [0.5000, 0.5000, 0.5000], [0.0000, 0.5000, 0.5000], [0.5000, 0.0000, 0.0000], [0.5000, 0.0000, 0.5000], [0.0000, 0.0000, 0.0000], [0.0000, 0.0000, 0.5000], [0.0000, 0.5000, 0.0000], [0.2332, 0.6990, 0.9660], [0.2332, 0.6990, 0.4663], [0.2670, 0.3013, 0.5341], [0.7329, 0.6990, 0.9660], [0.2671, 0.3010, 0.0340], [0.7330, 0.6987, 0.4659], [0.7668, 0.3010, 0.5337], [0.7668, 0.3010, 0.0340]], "magmom_total_mub_per_cell": 0.00, "formation_energy_uncorrected_ev_per_fu": -19.16, "space_group": "R-3m, No. 166", "final_energy_ev_per_atom": -4.979}

=====

Entry 8:
{"formula": "Tb2Tl3SbS6", "functional": "PBE", "state": "optimized geometry", "cell": [[7.0284, -0.0014, 0.0006], [-3.5137, 6.0871, 0.0006], [-1.1717, -2.0287, 7.4734]], "species": ["Tb", "Tb", "Tl", "Tl", "Tl", "Sb", "S", "S", "S", "S", "S", "S"], "frac_coords": [[0.3334, 0.6666, 0.0000], [0.6666, 0.3334, 0.0000], [0.1677, 0.8323, 0.5000], [0.8323, 0.1677, 0.5000], [0.5000, 0.5000, 0.5000], [0.0000, 0.0000, 0.0000], [0.9338, 0.6003, 0.8013], [0.7331, 0.7331, 0.2000], [0.0662, 0.3997, 0.1987], [0.6003, 0.9338, 0.8013], [0.2669, 0.2669, 0.8000], [0.3997, 0.0662, 0.1987]], "magmom_total_mub_per_cell": 0.00, "formation_energy_uncorrected_ev_per_fu": -13.22, "space_group": "C2/m, No. 12", "final_energy_ev_per_atom": -4.872}

=====

Copy entry 1 word for word.
{"formula": "TbSb2S4", "functional": "PBE", "state": "optimized geometry", "cell": [[4.1286, 0.0000, 0.0000], [-2.0643, 6.3768, 0.0000], [0.0000, 0.0000, 12.8574]], "species": ["Tb", "Tb", "Sb", "Sb", "Sb", "Sb", "S", "S", "S", "S", "S", "S", "S", "S"], "frac_coords": [[0.6237, 0.2474, 0.7500], [0.3763, 0.7526, 0.2500], [0.1237, 0.2474, 0.4394], [0.8763, 0.7526, 0.9394], [0.1237, 0.2474, 0.0606], [0.8763, 0.7526, 0.5606], [0.7772, 0.5545, 0.1220], [0.7772, 0.5545, 0.3780], [0.2228, 0.4455, 0.8780], [0.2228, 0.4455, 0.6220], [0.9819, 0.9637, 0.7500], [0.0181, 0.0363, 0.2500], [0.5000, 0.0000, 0.0000], [0.5000, 0.0000, 0.5000]], "magmom_total_mub_per_cell": 0.00, "formation_energy_uncorrected_ev_per_fu": -5.03, "space_group": "Cmcm, No. 63", "final_energy_ev_per_atom": -4.917}